DFT (PBE-GGA) results for a geometry-optimized PrNd12Tm6 structure.

Calculated values
theoretical density	7221	kg/m3
D(E_F)	1.95	states/eV per atom
VASP energy	-4.487	eV/atom
DFT formation energy	3.58	eV per formula unit
total magnetic moment	0.00	μB/atom

Cell: 13.4657 13.4657 12.6759 Å, 90.00 90.00 120.00°
Space group R-3m (No. 166, hexagonal axes)
One atom of each set of equivalent atoms:
Pr 0.0000 0.0000 0.0000 (multiplicity 3)
Nd 0.0000 0.2584 0.5000 (multiplicity 18)
Nd 0.0906 0.1813 0.2629 (multiplicity 18)
Tm 0.0420 0.5210 0.6210 (multiplicity 18)